The following is a DFT calculation (PBE) of crystalline CrGaTc2 at its relaxed geometry.

Values from the calculation:
Electronic total energy   -8.32 eV/atom
Density of states at the Fermi level   0.9933 states/eV per atom
SG   P4/mmm

Cell lengths 4.2581, 4.2581, 3.0316 Å; angles 90.00, 90.00, 90.00 degrees
Last column: nearest neighbours and their distance in Å.
Fractional positions:
Cr (0.0000, 0.0000, 0.0000)  8 Tc 2.61
Ga (0.5000, 0.5000, 0.0000)  8 Tc 2.61
Tc (0.0000, 0.5000, 0.5000)  4 Cr 2.61, 4 Ga 2.61
Tc (0.5000, 0.0000, 0.5000)  4 Cr 2.61, 4 Ga 2.61

The following is a DFT calculation (PBE) of crystalline CrGaTc3 at its relaxed geometry.

Values from the calculation:
Electronic total energy   -6.99 eV/atom
Density of states at the Fermi level   1.4254 states/eV per atom
SG   Pm-3m

Cell lengths 4.4476, 4.4476, 4.4476 Å; angles 90.00, 90.00, 90.00 degrees
Last column: nearest neighbours and their distance in Å.
Fractional positions:
Cr (0.0000, 0.0000, 0.0000)  12 Tc 3.14
Ga (0.5000, 0.5000, 0.5000)  6 Tc 2.22
Tc (0.0000, 0.5000, 0.5000)  2 Ga 2.22
Tc (0.5000, 0.0000, 0.5000)  2 Ga 2.22
Tc (0.5000, 0.5000, 0.0000)  2 Ga 2.22

The following is a DFT calculation (PBE) of crystalline CrGaTc2 at its relaxed geometry.

Values from the calculation:
Electronic total energy   -8.39 eV/atom
Density of states at the Fermi level   1.0202 states/eV per atom
SG   P4/mmm

Cell lengths 2.9836, 2.9836, 6.1850 Å; angles 90.00, 90.00, 90.00 degrees
Last column: nearest neighbours and their distance in Å.
Fractional positions:
Cr (0.0000, 0.0000, 0.0000)  8 Tc 2.57
Ga (0.0000, 0.0000, 0.5000)  8 Tc 2.66
Tc (0.5000, 0.5000, 0.2376)  4 Cr 2.57, 4 Ga 2.66
Tc (0.5000, 0.5000, 0.7624)  4 Cr 2.57, 4 Ga 2.66

The following is a DFT calculation (PBE) of crystalline VCrGaTc at its relaxed geometry.

Values from the calculation:
Electronic total energy   -8.20 eV/atom
Density of states at the Fermi level   0.5332 states/eV per atom
SG   F-43m

Cell lengths 4.2794, 4.2794, 4.2794 Å; angles 60.00, 60.00, 60.00 degrees
Last column: nearest neighbours and their distance in Å.
Fractional positions:
V (0.0000, 0.0000, 0.0000)  4 Cr 2.62, 4 Tc 2.62
Cr (0.2500, 0.2500, 0.2500)  4 Ga 2.62, 4 V 2.62
Ga (0.5000, 0.5000, 0.5000)  4 Tc 2.62, 4 Cr 2.62
Tc (0.7500, 0.7500, 0.7500)  4 Ga 2.62, 4 V 2.62

The following is a DFT calculation (PBE) of crystalline CrGaTc2W at its relaxed geometry.

Values from the calculation:
Electronic total energy   -7.31 eV/atom
Density of states at the Fermi level   1.5312 states/eV per atom
SG   P4/mmm

Cell lengths 4.6756, 4.6756, 4.8024 Å; angles 90.00, 90.00, 90.00 degrees
Last column: nearest neighbours and their distance in Å.
Fractional positions:
Cr (0.0000, 0.0000, 0.0000)  4 Ga 3.31, 8 Tc 3.35
Ga (0.5000, 0.5000, 0.0000)  2 W 2.40
Tc (0.0000, 0.5000, 0.5000)  2 W 2.34
Tc (0.5000, 0.0000, 0.5000)  2 W 2.34
W (0.5000, 0.5000, 0.5000)  4 Tc 2.34, 2 Ga 2.40

The following is a DFT calculation (PBE) of crystalline ZrCrGa2Tc at its relaxed geometry.

Values from the calculation:
Electronic total energy   -5.35 eV/atom
Density of states at the Fermi level   0.8631 states/eV per atom
SG   P4/mmm

Cell lengths 5.0881, 5.0881, 4.6182 Å; angles 90.00, 90.00, 90.00 degrees
Last column: nearest neighbours and their distance in Å.
Fractional positions:
Zr (0.0000, 0.0000, 0.0000)  2 Cr 2.31, 4 Ga 2.54
Cr (0.0000, 0.0000, 0.5000)  2 Zr 2.31
Ga (0.0000, 0.5000, 0.0000)  2 Zr 2.54
Ga (0.5000, 0.0000, 0.0000)  2 Zr 2.54
Tc (0.5000, 0.5000, 0.5000)  8 Ga 3.44, 4 Cr 3.60

The following is a DFT calculation (PBE) of crystalline CrGaTe2 at its relaxed geometry.

Values from the calculation:
Electronic total energy   -4.88 eV/atom
Density of states at the Fermi level   0.2633 states/eV per atom
SG   R3m
Formation energy from raw total energies   -0.15 eV/atom

Cell lengths 7.7377, 7.7377, 7.7377 Å; angles 30.17, 30.17, 30.17 degrees
Last column: nearest neighbours and their distance in Å.
Fractional positions:
Cr (0.0000, 0.0000, 0.0000)  6 Te 2.75-2.79
Ga (0.1632, 0.1632, 0.1632)  6 Te 3.12-3.27
Te (0.4029, 0.4029, 0.4029)  3 Cr 2.79, 3 Ga 3.12
Te (0.6006, 0.6006, 0.6006)  3 Cr 2.75

The following is a DFT calculation (PBE) of crystalline CrGaTe2 at its relaxed geometry.

Values from the calculation:
Electronic total energy   -4.77 eV/atom
Density of states at the Fermi level   1.2339 states/eV per atom
SG   I-42d
Formation energy from raw total energies   -0.03 eV/atom

Cell lengths 7.7761, 7.7761, 7.7761 Å; angles 132.22, 132.22, 69.88 degrees
Last column: nearest neighbours and their distance in Å.
Fractional positions:
Cr (0.0000, 0.0000, 0.0000)  4 Te 2.72
Cr (0.7500, 0.2500, 0.5000)  4 Te 2.72
Ga (0.2500, 0.7500, 0.5000)  4 Te 2.76
Ga (0.5000, 0.5000, 0.0000)  4 Te 2.76
Te (0.1186, 0.6250, 0.9936)  2 Cr 2.72, 2 Ga 2.76
Te (0.3750, 0.3686, 0.4936)  2 Cr 2.72, 2 Ga 2.76
Te (0.6314, 0.1250, 0.0064)  2 Cr 2.72, 2 Ga 2.76
Te (0.8750, 0.8814, 0.5064)  2 Cr 2.72, 2 Ga 2.76

The following is a DFT calculation (PBE) of crystalline CrGaTe3 at its relaxed geometry.

Values from the calculation:
Electronic total energy   -3.76 eV/atom
Density of states at the Fermi level   1.1787 states/eV per atom
SG   Pm-3m
Formation energy from raw total energies   0.66 eV/atom

Cell lengths 5.3630, 5.3630, 5.3630 Å; angles 90.00, 90.00, 90.00 degrees
Last column: nearest neighbours and their distance in Å.
Fractional positions:
Cr (0.0000, 0.0000, 0.0000)  12 Te 3.79
Ga (0.5000, 0.5000, 0.5000)  6 Te 2.68
Te (0.0000, 0.5000, 0.5000)  2 Ga 2.68
Te (0.5000, 0.0000, 0.5000)  2 Ga 2.68
Te (0.5000, 0.5000, 0.0000)  2 Ga 2.68

The following is a DFT calculation (PBE) of crystalline CrGaTe3 at its relaxed geometry.

Values from the calculation:
Electronic total energy   -4.18 eV/atom
Density of states at the Fermi level   1.2370 states/eV per atom
SG   Pm-3m
Formation energy from raw total energies   0.24 eV/atom

Cell lengths 5.2888, 5.2888, 5.2888 Å; angles 90.00, 90.00, 90.00 degrees
Last column: nearest neighbours and their distance in Å.
Fractional positions:
Cr (0.0000, 0.0000, 0.0000)  6 Te 2.64
Ga (0.5000, 0.5000, 0.5000)  12 Te 3.74
Te (0.0000, 0.0000, 0.5000)  2 Cr 2.64
Te (0.0000, 0.5000, 0.0000)  2 Cr 2.64
Te (0.5000, 0.0000, 0.0000)  2 Cr 2.64

The following is a DFT calculation (PBE) of crystalline CrGaTe2 at its relaxed geometry.

Values from the calculation:
Electronic total energy   -4.61 eV/atom
Density of states at the Fermi level   0.4711 states/eV per atom
SG   R-3m
Formation energy from raw total energies   0.12 eV/atom

Cell lengths 10.0470, 10.0470, 10.0470 Å; angles 19.58, 19.58, 19.58 degrees
Last column: nearest neighbours and their distance in Å.
Fractional positions:
Cr (0.0000, 0.0000, 0.0000)  6 Te 2.63
Ga (0.5000, 0.5000, 0.5000)  2 Te 3.19, 6 Ga 3.42
Te (0.3921, 0.3921, 0.3921)  3 Cr 2.63
Te (0.6079, 0.6079, 0.6079)  3 Cr 2.63

The following is a DFT calculation (PBE) of crystalline Cr2Ga2Te at its relaxed geometry.

Values from the calculation:
Electronic total energy   -5.43 eV/atom
Density of states at the Fermi level   0.7664 states/eV per atom
SG   P4/mbm
Formation energy from raw total energies   0.26 eV/atom

Cell lengths 7.1267, 7.1267, 3.5089 Å; angles 90.00, 90.00, 90.00 degrees
Last column: nearest neighbours and their distance in Å.
Fractional positions:
Cr (0.1616, 0.3384, 0.0000)  2 Te 2.67, 6 Ga 2.69-2.76
Cr (0.3384, 0.8384, 0.0000)  2 Te 2.67, 6 Ga 2.69-2.76
Cr (0.6616, 0.1616, 0.0000)  2 Te 2.67, 6 Ga 2.69-2.76
Cr (0.8384, 0.6616, 0.0000)  2 Te 2.67, 6 Ga 2.69-2.76
Ga (0.1355, 0.6355, 0.5000)  6 Cr 2.69-2.76, 1 Ga 2.73
Ga (0.3645, 0.1355, 0.5000)  6 Cr 2.69-2.76, 1 Ga 2.73
Ga (0.6355, 0.8645, 0.5000)  6 Cr 2.69-2.76, 1 Ga 2.73
Ga (0.8645, 0.3645, 0.5000)  6 Cr 2.69-2.76, 1 Ga 2.73
Te (0.0000, 0.0000, 0.0000)  4 Cr 2.67
Te (0.5000, 0.5000, 0.0000)  4 Cr 2.67

The following is a DFT calculation (PBE) of crystalline CrGaTe at its relaxed geometry.

Values from the calculation:
Electronic total energy   -4.78 eV/atom
Density of states at the Fermi level   0.4772 states/eV per atom
SG   F-43m
Formation energy from raw total energies   0.49 eV/atom

Cell lengths 4.7128, 4.7128, 4.7128 Å; angles 60.00, 60.00, 60.00 degrees
Last column: nearest neighbours and their distance in Å.
Fractional positions:
Cr (0.0000, 0.0000, 0.0000)  4 Ga 2.89
Ga (0.2500, 0.2500, 0.2500)  4 Cr 2.89, 4 Te 2.89
Te (0.5000, 0.5000, 0.5000)  4 Ga 2.89

The following is a DFT calculation (PBE) of crystalline CrGaTe3 at its relaxed geometry.

Values from the calculation:
Electronic total energy   -4.64 eV/atom
Density of states at the Fermi level   0.0721 states/eV per atom
SG   P2_1/m
Formation energy from raw total energies   -0.22 eV/atom

Cell lengths 6.9397, 4.0729, 11.3625 Å; angles 90.00, 98.42, 90.00 degrees
Last column: nearest neighbours and their distance in Å.
Fractional positions:
Cr (0.0322, 0.2500, 0.1611)  6 Te 2.75-2.78
Cr (0.9678, 0.7500, 0.8389)  6 Te 2.75-2.78
Ga (0.4982, 0.7500, 0.2509)  4 Te 2.60-2.75
Ga (0.5018, 0.2500, 0.7491)  4 Te 2.60-2.75
Te (0.1236, 0.2500, 0.7197)  1 Ga 2.60, 2 Cr 2.75
Te (0.2157, 0.7500, 0.0540)  1 Ga 2.75, 3 Cr 2.78
Te (0.3340, 0.2500, 0.3507)  2 Ga 2.67, 1 Cr 2.78
Te (0.6660, 0.7500, 0.6493)  2 Ga 2.67, 1 Cr 2.78
Te (0.7843, 0.2500, 0.9460)  1 Ga 2.75, 3 Cr 2.78
Te (0.8764, 0.7500, 0.2803)  1 Ga 2.60, 2 Cr 2.75

The following is a DFT calculation (PBE) of crystalline CrGaTe at its relaxed geometry.

Values from the calculation:
Electronic total energy   -5.09 eV/atom
Density of states at the Fermi level   0.6812 states/eV per atom
SG   C2/m
Formation energy from raw total energies   0.18 eV/atom

Cell lengths 3.6072, 3.6072, 9.7667 Å; angles 91.32, 91.32, 80.52 degrees
Last column: nearest neighbours and their distance in Å.
Fractional positions:
Cr (0.1422, 0.1422, 0.0638)  1 Cr 1.97
Cr (0.8578, 0.8578, 0.9362)  1 Cr 1.97
Ga (0.2505, 0.2505, 0.4343)  2 Ga 2.66
Ga (0.7495, 0.7495, 0.5657)  2 Ga 2.66
Te (0.2823, 0.2823, 0.8038)  4 Cr 2.68-2.71
Te (0.7177, 0.7177, 0.1962)  4 Cr 2.68-2.71

The following is a DFT calculation (PBE) of crystalline CrGaTe2 at its relaxed geometry.

Values from the calculation:
Electronic total energy   -4.44 eV/atom
Density of states at the Fermi level   0.3980 states/eV per atom
SG   R-3m
Formation energy from raw total energies   0.29 eV/atom

Cell lengths 8.7547, 8.7547, 8.7547 Å; angles 27.32, 27.32, 27.32 degrees
Last column: nearest neighbours and their distance in Å.
Fractional positions:
Cr (0.0000, 0.0000, 0.0000)  2 Te 2.65
Ga (0.5000, 0.5000, 0.5000)  6 Te 2.85
Te (0.1048, 0.1048, 0.1048)  1 Cr 2.65, 3 Ga 2.85
Te (0.8952, 0.8952, 0.8952)  1 Cr 2.65, 3 Ga 2.85

The following is a DFT calculation (PBE) of crystalline Tl2Cr2GaTe6 at its relaxed geometry.

Values from the calculation:
Electronic total energy   -4.39 eV/atom
Density of states at the Fermi level   0.5064 states/eV per atom
SG   C2/m
Formation energy from raw total energies   -0.22 eV/atom

Cell lengths 7.0647, 7.0647, 8.2230 Å; angles 97.99, 97.99, 120.82 degrees
Last column: nearest neighbours and their distance in Å.
Fractional positions:
Tl (0.1616, 0.8384, 0.0000)  6 Te 3.37-3.42
Tl (0.8384, 0.1616, 0.0000)  6 Te 3.37-3.42
Cr (0.3289, 0.6711, 0.5000)  6 Te 2.73-2.78
Cr (0.6711, 0.3289, 0.5000)  6 Te 2.73-2.78
Ga (0.0000, 0.0000, 0.5000)  6 Te 2.80-2.87
Te (0.0640, 0.4084, 0.6922)  2 Cr 2.73-2.74, 1 Ga 2.87
Te (0.2826, 0.2826, 0.3168)  2 Cr 2.78, 1 Ga 2.80
Te (0.4084, 0.0640, 0.6922)  2 Cr 2.73-2.74, 1 Ga 2.87
Te (0.5916, 0.9360, 0.3078)  2 Cr 2.73-2.74, 1 Ga 2.87
Te (0.7174, 0.7174, 0.6832)  2 Cr 2.78, 1 Ga 2.80
Te (0.9360, 0.5916, 0.3078)  2 Cr 2.73-2.74, 1 Ga 2.87

The following is a DFT calculation (PBE) of crystalline Tl3Cr2GaTe6 at its relaxed geometry.

Values from the calculation:
Electronic total energy   -4.27 eV/atom
Density of states at the Fermi level   0.2746 states/eV per atom
SG   C2/m
Formation energy from raw total energies   -0.25 eV/atom

Cell lengths 7.2012, 7.2012, 8.1365 Å; angles 98.49, 98.49, 120.03 degrees
Last column: nearest neighbours and their distance in Å.
Fractional positions:
Tl (0.0000, 0.0000, 0.0000)  6 Te 3.37-3.44
Tl (0.3380, 0.6620, 0.0000)  6 Te 3.37-3.44
Tl (0.6620, 0.3380, 0.0000)  6 Te 3.37-3.44
Cr (0.1671, 0.8329, 0.5000)  6 Te 2.76-2.77
Cr (0.8329, 0.1671, 0.5000)  6 Te 2.76-2.77
Ga (0.5000, 0.5000, 0.5000)  6 Te 2.87-2.90
Te (0.0900, 0.4366, 0.3106)  2 Cr 2.77, 1 Ga 2.90
Te (0.2151, 0.2151, 0.6840)  2 Cr 2.76, 1 Ga 2.87
Te (0.4366, 0.0900, 0.3106)  2 Cr 2.77, 1 Ga 2.90
Te (0.5634, 0.9100, 0.6894)  2 Cr 2.77, 1 Ga 2.90
Te (0.7849, 0.7849, 0.3160)  2 Cr 2.76, 1 Ga 2.87
Te (0.9100, 0.5634, 0.6894)  2 Cr 2.77, 1 Ga 2.90

The following is a DFT calculation (PBE) of crystalline TlCr2GaTe at its relaxed geometry.

Values from the calculation:
Electronic total energy   -4.84 eV/atom
Density of states at the Fermi level   0.4281 states/eV per atom
SG   P4/mmm
Formation energy from raw total energies   0.72 eV/atom

Cell lengths 4.9466, 4.9466, 5.2714 Å; angles 90.00, 90.00, 90.00 degrees
Last column: nearest neighbours and their distance in Å.
Fractional positions:
Tl (0.0000, 0.0000, 0.0000)  2 Ga 2.64
Cr (0.0000, 0.5000, 0.5000)  2 Ga 2.47
Cr (0.5000, 0.0000, 0.5000)  2 Ga 2.47
Ga (0.0000, 0.0000, 0.5000)  4 Cr 2.47, 2 Tl 2.64
Te (0.5000, 0.5000, 0.0000)  4 Tl 3.50, 8 Cr 3.61

The following is a DFT calculation (PBE) of crystalline ZnCrGa2Te at its relaxed geometry.

Values from the calculation:
Electronic total energy   -3.61 eV/atom
Density of states at the Fermi level   0.4701 states/eV per atom
SG   P4/mmm
Formation energy from raw total energies   0.41 eV/atom

Cell lengths 4.7406, 4.7406, 5.1161 Å; angles 90.00, 90.00, 90.00 degrees
Last column: nearest neighbours and their distance in Å.
Fractional positions:
Zn (0.0000, 0.0000, 0.0000)  4 Ga 2.37, 2 Cr 2.56
Cr (0.0000, 0.0000, 0.5000)  2 Zn 2.56
Ga (0.0000, 0.5000, 0.0000)  2 Zn 2.37
Ga (0.5000, 0.0000, 0.0000)  2 Zn 2.37
Te (0.5000, 0.5000, 0.5000)  4 Cr 3.35, 8 Ga 3.49